Computed, not measured: a relaxed structure of La2TcAuI at the PBE level of DFT.

Unit cell a=5.935 b=5.935 c=4.779 alpha=90.00 beta=90.00 gamma=90.00
Space group P4/mmm (No. 123)
Inequivalent atoms, fractional coordinates:
La (0.000, 0.500, 0.000) x2
Tc (0.000, 0.000, 0.500) x1
Au (0.500, 0.500, 0.500) x1
I (0.000, 0.000, 0.000) x1

***

Computed, not measured: a relaxed structure of La6Tc2AuI3 at the PBE level of DFT.

Unit cell a=7.451 b=12.896 c=8.635 alpha=90.00 beta=106.68 gamma=90.00
Space group C2/m (No. 12)
Inequivalent atoms, fractional coordinates:
La (0.201, 0.000, 0.188) x4
La (0.244, 0.319, 0.190) x8
Tc (0.000, 0.167, 0.000) x4
Au (0.000, 0.500, 0.000) x2
I (0.000, 0.000, 0.500) x2
I (0.000, 0.336, 0.500) x4

***

Computed, not measured: a relaxed structure of LaTeAuI2 at the PBE level of DFT.

Unit cell a=6.159 b=6.159 c=6.383 alpha=90.00 beta=90.00 gamma=90.00
Space group P4/mmm (No. 123)
Inequivalent atoms, fractional coordinates:
La (0.000, 0.000, 0.000) x1
Te (0.000, 0.000, 0.500) x1
Au (0.500, 0.500, 0.500) x1
I (0.000, 0.500, 0.000) x2

Calculated values
Energy above the lowest structure with this stoichiometry: 36 meV/atom

***

Computed, not measured: a relaxed structure of LaTeAuI2 at the PBE level of DFT.

Unit cell a=5.591 b=5.591 c=5.626 alpha=90.00 beta=90.00 gamma=90.00
Space group P4/mmm (No. 123)
Inequivalent atoms, fractional coordinates:
La (0.000, 0.000, 0.000) x1
Te (0.500, 0.500, 0.000) x1
Au (0.500, 0.500, 0.500) x1
I (0.000, 0.500, 0.500) x2

Calculated values
Energy above the lowest structure with this stoichiometry: 0 meV/atom

***

Computed, not measured: a relaxed structure of LaTe2AuI at the PBE level of DFT.

Unit cell a=5.551 b=5.551 c=5.420 alpha=90.00 beta=90.00 gamma=90.00
Space group P4/mmm (No. 123)
Inequivalent atoms, fractional coordinates:
La (0.000, 0.000, 0.000) x1
Te (0.000, 0.500, 0.500) x2
Au (0.500, 0.500, 0.500) x1
I (0.500, 0.500, 0.000) x1

Calculated values
Energy above the lowest structure with this stoichiometry: 0 meV/atom

***

Computed, not measured: a relaxed structure of LaTe2AuI at the PBE level of DFT.

Unit cell a=6.221 b=6.221 c=6.126 alpha=90.00 beta=90.00 gamma=90.00
Space group P4/mmm (No. 123)
Inequivalent atoms, fractional coordinates:
La (0.000, 0.000, 0.000) x1
Te (0.000, 0.500, 0.000) x2
Au (0.500, 0.500, 0.500) x1
I (0.000, 0.000, 0.500) x1

Calculated values
Energy above the lowest structure with this stoichiometry: 388 meV/atom

***

Computed, not measured: a relaxed structure of LaZnAu2I at the PBE level of DFT.

Unit cell a=5.630 b=5.630 c=6.388 alpha=90.00 beta=90.00 gamma=90.00
Space group P4/mmm (No. 123)
Inequivalent atoms, fractional coordinates:
La (0.000, 0.000, 0.000) x1
Zn (0.000, 0.000, 0.500) x1
Au (0.000, 0.500, 0.000) x2
I (0.500, 0.500, 0.500) x1

***

Computed, not measured: a relaxed structure of La8Zn3AuI4 at the PBE level of DFT.

Unit cell a=15.336 b=8.842 c=9.322 alpha=90.00 beta=123.31 gamma=90.00
Space group C2/m (No. 12)
Inequivalent atoms, fractional coordinates:
La (0.009, 0.249, 0.279) x8
La (0.240, 0.000, 0.721) x4
La (0.243, 0.500, 0.727) x4
Zn (0.000, 0.500, 0.500) x2
Zn (0.250, 0.250, 0.500) x4
Au (0.000, 0.000, 0.500) x2
I (0.000, 0.000, 0.000) x2
I (0.000, 0.500, 0.000) x2
I (0.250, 0.250, 0.000) x4

***

Computed, not measured: a relaxed structure of LiAuI2 at the PBE level of DFT.

Unit cell a=7.654 b=7.654 c=7.654 alpha=90.00 beta=90.00 gamma=90.00
Space group Fm-3m (No. 225)
Inequivalent atoms, fractional coordinates:
Li (0.000, 0.000, 0.000) x4
Au (0.000, 0.000, 0.500) x4
I (0.250, 0.250, 0.250) x8

Calculated values
Energy above the lowest structure with this stoichiometry: 435 meV/atom

***

Computed, not measured: a relaxed structure of LiAuI3 at the PBE level of DFT.

Unit cell a=5.735 b=5.735 c=5.735 alpha=90.00 beta=90.00 gamma=90.00
Space group Pm-3m (No. 221)
Inequivalent atoms, fractional coordinates:
Li (0.000, 0.000, 0.000) x1
Au (0.500, 0.500, 0.500) x1
I (0.000, 0.500, 0.500) x3

Calculated values
Energy above the lowest structure with this stoichiometry: 237 meV/atom

***

Computed, not measured: a relaxed structure of LiAu2I6 at the PBE level of DFT.

Unit cell a=14.158 b=12.627 c=7.554 alpha=90.00 beta=102.87 gamma=90.00
Space group C2/c (No. 15)
Inequivalent atoms, fractional coordinates:
Li (0.000, 0.104, 0.250) x4
Au (0.186, 0.421, 0.296) x8
I (0.106, 0.256, 0.086) x8
I (0.115, 0.071, 0.625) x8
I (0.136, 0.392, 0.623) x8

Calculated values
Energy above the lowest structure with this stoichiometry: 100 meV/atom

***

Computed, not measured: a relaxed structure of LiAuI2 at the PBE level of DFT.

Unit cell a=6.425 b=6.425 c=13.170 alpha=90.00 beta=90.00 gamma=90.00
Space group I-42d (No. 122)
Inequivalent atoms, fractional coordinates:
Li (0.000, 0.000, 0.000) x4
Au (0.000, 0.000, 0.500) x4
I (0.244, 0.250, 0.125) x8

Calculated values
Energy above the lowest structure with this stoichiometry: 18 meV/atom

***

Computed, not measured: a relaxed structure of Li2Au2I7 at the PBE level of DFT.

Unit cell a=10.446 b=13.200 c=13.797 alpha=90.00 beta=106.67 gamma=90.00
Space group C2/c (No. 15)
Inequivalent atoms, fractional coordinates:
Li (0.165, 0.029, 0.424) x8
Au (0.202, 0.269, 0.808) x8
I (0.000, 0.397, 0.750) x4
I (0.110, 0.071, 0.089) x8
I (0.159, 0.396, 0.127) x8
I (0.231, 0.270, 0.598) x8

Calculated values
Energy above the lowest structure with this stoichiometry: 33 meV/atom

***

Computed, not measured: a relaxed structure of LiAu2I at the PBE level of DFT.

Unit cell a=3.926 b=3.926 c=24.249 alpha=90.00 beta=90.00 gamma=90.00
Space group I-42d (No. 122)
Inequivalent atoms, fractional coordinates:
Li (0.000, 0.000, 0.000) x4
Au (0.246, 0.250, 0.125) x8
I (0.000, 0.000, 0.500) x4

Calculated values
Energy above the lowest structure with this stoichiometry: 0 meV/atom

***

Computed, not measured: a relaxed structure of LiAuI at the PBE level of DFT.

Unit cell a=6.886 b=5.100 c=9.860 alpha=90.00 beta=98.51 gamma=90.00
Space group C2/m (No. 12)
Inequivalent atoms, fractional coordinates:
Li (0.227, 0.000, 0.305) x4
Au (0.129, 0.500, 0.417) x4
I (0.178, 0.000, 0.808) x4

Calculated values
Energy above the lowest structure with this stoichiometry: 0 meV/atom

***

Computed, not measured: a relaxed structure of Li3AuI4 at the PBE level of DFT.

Unit cell a=9.042 b=7.925 c=7.508 alpha=90.00 beta=90.00 gamma=90.00
Space group Pmn2_1 (No. 31)
Inequivalent atoms, fractional coordinates:
Li (0.000, 0.164, 0.000) x2
Li (0.249, 0.334, 0.501) x4
Au (0.000, 0.833, 0.494) x2
I (0.000, 0.169, 0.630) x2
I (0.000, 0.833, 0.120) x2
I (0.247, 0.336, 0.130) x4

***

Computed, not measured: a relaxed structure of Li2AuI at the PBE level of DFT.

Unit cell a=4.0873 b=4.0873 c=23.7548 alpha=90.00 beta=90.00 gamma=120.00
Space group R-3m (No. 166, hexagonal axes)
Inequivalent atoms, fractional coordinates:
Li (0.0000, 0.0000, 0.1072) x6
Au (0.0000, 0.0000, 0.5000) x3
I (0.0000, 0.0000, 0.0000) x3

Calculated values
Energy above the lowest structure with this stoichiometry: 168 meV/atom

***

Computed, not measured: a relaxed structure of LiAu2I6 at the PBE level of DFT.

Unit cell a=15.268 b=14.010 c=7.427 alpha=90.00 beta=98.42 gamma=90.00
Space group C2/c (No. 15)
Inequivalent atoms, fractional coordinates:
Li (0.000, 0.163, 0.250) x4
Au (0.241, 0.082, 0.396) x8
I (0.125, 0.179, 0.571) x8
I (0.147, 0.141, 0.077) x8
I (0.153, 0.470, 0.283) x8

Calculated values
Energy above the lowest structure with this stoichiometry: 0 meV/atom

***

Computed, not measured: a relaxed structure of LiAuI2 at the PBE level of DFT.

Unit cell a=4.4911 b=4.4911 c=24.6263 alpha=90.00 beta=90.00 gamma=120.00
Space group P3_221 (No. 154)
Inequivalent atoms, fractional coordinates:
Li (0.0000, 0.3284, 0.3333) x3
Au (0.0000, 0.3353, 0.8333) x3
I (0.0041, 0.3376, 0.9382) x6

Calculated values
Energy above the lowest structure with this stoichiometry: 0 meV/atom

***

Computed, not measured: a relaxed structure of Li2Au3I6 at the PBE level of DFT.

Unit cell a=13.123 b=7.604 c=17.061 alpha=90.00 beta=105.02 gamma=90.00
Space group C2/c (No. 15)
Inequivalent atoms, fractional coordinates:
Li (0.084, 0.250, 0.001) x8
Au (0.000, 0.067, 0.250) x4
Au (0.159, 0.410, 0.750) x8
I (0.054, 0.080, 0.406) x8
I (0.115, 0.413, 0.594) x8
I (0.216, 0.421, 0.906) x8

***

Computed, not measured: a relaxed structure of Li4AuI5 at the PBE level of DFT.

Unit cell a=4.5996 b=4.5996 c=55.3440 alpha=90.00 beta=90.00 gamma=120.00
Space group R3m (No. 160, hexagonal axes)
Inequivalent atoms, fractional coordinates:
Li (0.0000, 0.0000, 0.0000) x3
Li (0.0000, 0.0000, 0.2001) x3
Li (0.0000, 0.0000, 0.3997) x3
Li (0.0000, 0.0000, 0.6001) x3
Au (0.0000, 0.0000, 0.8000) x3
I (0.0000, 0.0000, 0.0506) x3
I (0.0000, 0.0000, 0.2507) x3
I (0.0000, 0.0000, 0.4504) x3
I (0.0000, 0.0000, 0.6506) x3
I (0.0000, 0.0000, 0.8517) x3

***

Computed, not measured: a relaxed structure of LiAuI at the PBE level of DFT.

Unit cell a=3.4071 b=3.4071 c=7.3326 alpha=90.00 beta=90.00 gamma=120.00
Space group P3m1 (No. 156)
Inequivalent atoms, fractional coordinates:
Li (0.0000, 0.0000, 0.0000) x1
Au (0.3333, 0.6667, 0.7423) x1
I (0.6667, 0.3333, 0.2799) x1

Calculated values
Energy above the lowest structure with this stoichiometry: 446 meV/atom

***

Computed, not measured: a relaxed structure of Li2AuI at the PBE level of DFT.

Unit cell a=7.084 b=7.084 c=7.084 alpha=90.00 beta=90.00 gamma=90.00
Space group Fm-3m (No. 225)
Inequivalent atoms, fractional coordinates:
Li (0.250, 0.250, 0.250) x8
Au (0.000, 0.000, 0.000) x4
I (0.000, 0.000, 0.500) x4

Calculated values
Energy above the lowest structure with this stoichiometry: 103 meV/atom

***

no.,total magnetic moment (μB/f.u.),formation energy from raw total energies (kJ/mol of atoms)
1,0.30,49
2,0.00,-66
3,0.00,-30
4,0.31,-33
5,0.18,-39
6,0.29,-2
7,0.00,25
8,0.00,-65
9,0.00,-14
10,0.00,-24
11,0.00,-15
12,0.00,-55
13,0.00,-36
14,0.00,-25
15,0.00,-56
16,0.00,-86
17,0.00,-45
18,0.00,-24
19,0.00,-56
20,0.00,-37
21,0.00,-92
22,0.00,-13
23,0.00,-51